# PBE Na4GaAs2, optimized geometry
data_Na4GaAs2
_space_group_name_H-M_alt 'P 1'
_space_group_IT_number 1
_cell_length_a 5.093
_cell_length_b 5.093
_cell_length_c 9.113
_cell_angle_alpha 73.77
_cell_angle_beta 73.77
_cell_angle_gamma 60.00
loop_
_space_group_symop_operation_xyz
'x,y,z'
loop_
_atom_site_label
_atom_site_type_symbol
_atom_site_fract_x
_atom_site_fract_y
_atom_site_fract_z
Na1 Na 0.210 0.210 0.371
Na2 Na 0.790 0.790 0.629
Na3 Na 0.608 0.608 0.176
Na4 Na 0.392 0.392 0.824
Ga1 Ga 0.000 0.000 0.000
As1 As 0.909 0.909 0.274
As2 As 0.091 0.091 0.726
# * calculated density: 2.67 Mg/m³
# * crystal system: trigonal
# * formation enthalpy at 0 K: -2.24 eV/f.u.
# * space group: R-3m (166)